[1]
# Pm3CoSn2 PBE optimized geometry
# DFT formation energy: -406 meV/atom
# ΔE to the lowest computed polymorph: 176 meV/atom
# Total magnetization: 1.028 μB/f.u.
# DFT total energy: -127.21 eV for the cell shown
data_Pm3CoSn2
_space_group_name_H-M_alt 'I b a m'
_space_group_IT_number 72
_space_group_name_Hall '-I 2 2c'
_cell_length_a 8.4471
_cell_length_b 12.6724
_cell_length_c 6.4225
_cell_angle_alpha 90.00
_cell_angle_beta 90.00
_cell_angle_gamma 90.00
loop_
_atom_site_label
_atom_site_fract_x
_atom_site_fract_y
_atom_site_fract_z
Pm1 0.0000 0.0000 0.2500
Pm2 0.1520 0.3313 0.0000
Co1 0.0000 0.5000 0.2500
Sn1 0.2036 0.4001 0.5000

---

[2]
# Pm8Co2Sn PBE optimized geometry
# DFT formation energy: -122 meV/atom
# Total magnetization: 0.000 μB/f.u.
# DFT total energy: -115.13 eV for the cell shown
data_Pm8Co2Sn
_space_group_name_H-M_alt 'C 1 2/m 1'
_space_group_IT_number 12
_cell_length_a 8.7672
_cell_length_b 13.6145
_cell_length_c 5.4080
_cell_angle_alpha 90.00
_cell_angle_beta 103.18
_cell_angle_gamma 90.00
loop_
_space_group_symop_operation_xyz
'x,y,z'
'-x,-y,-z'
'-x,y,-z'
'x,-y,z'
'x+1/2,y+1/2,z'
'-x+1/2,-y+1/2,-z'
'-x+1/2,y+1/2,-z'
'x+1/2,-y+1/2,z'
loop_
_atom_site_label
_atom_site_fract_x
_atom_site_fract_y
_atom_site_fract_z
Pm1 0.0000 0.2485 0.0000
Pm2 0.1076 0.0000 0.8013
Pm3 0.1992 0.3724 0.5629
Co1 0.0000 0.1995 0.5000
Sn1 0.0000 0.5000 0.0000

---

[3]
# Pm3CoSn2 PBE optimized geometry
# DFT formation energy: -583 meV/atom
# ΔE to the lowest computed polymorph: 0 meV/atom
# Total magnetization: 0.000 μB/f.u.
# DFT total energy: -131.44 eV for the cell shown
data_Pm3CoSn2
_space_group_name_H-M_alt 'P n m a'
_space_group_IT_number 62
_cell_length_a 12.5282
_cell_length_b 4.3811
_cell_length_c 11.8719
_cell_angle_alpha 90.00
_cell_angle_beta 90.00
_cell_angle_gamma 90.00
loop_
_space_group_symop_operation_xyz
'x,y,z'
'-x,-y,-z'
'-x+1/2,-y,z+1/2'
'x+1/2,y,-z+1/2'
'x+1/2,-y+1/2,-z+1/2'
'-x+1/2,y+1/2,z+1/2'
'-x,y+1/2,-z'
'x,-y+1/2,z'
loop_
_atom_site_label
_atom_site_fract_x
_atom_site_fract_y
_atom_site_fract_z
Pm1 0.0530 0.2500 0.1300
Pm2 0.1214 0.7500 0.5482
Pm3 0.2363 0.2500 0.7905
Co1 0.1302 0.2500 0.3661
Sn1 0.0090 0.7500 0.3131
Sn2 0.1917 0.7500 0.9939

---

[4]
# PmCoSn4 PBE optimized geometry
# DFT formation energy: -214 meV/atom
# Total magnetization: 0.000 μB/f.u.
# DFT total energy: -116.61 eV for the cell shown
data_PmCoSn4
_space_group_name_H-M_alt 'C m c 21'
_space_group_IT_number 36
_cell_length_a 4.6356
_cell_length_b 19.7487
_cell_length_c 6.5745
_cell_angle_alpha 90.00
_cell_angle_beta 90.00
_cell_angle_gamma 90.00
loop_
_space_group_symop_operation_xyz
'x,y,z'
'-x,-y,z+1/2'
'-x,y,z'
'x,-y,z+1/2'
'x+1/2,y+1/2,z'
'-x+1/2,-y+1/2,z+1/2'
'-x+1/2,y+1/2,z'
'x+1/2,-y+1/2,z+1/2'
loop_
_atom_site_label
_atom_site_fract_x
_atom_site_fract_y
_atom_site_fract_z
Pm1 0.0000 0.1349 0.0000
Co1 0.0000 0.4019 0.1895
Sn1 0.0000 0.0804 0.5126
Sn2 0.0000 0.2756 0.2738
Sn3 0.0000 0.3229 0.8399
Sn4 0.0000 0.4795 0.5086

---

[5]
# Pm4CoSn PBE optimized geometry
# DFT formation energy: -300 meV/atom
# ΔE to the lowest computed polymorph: 0 meV/atom
# Total magnetization: 0.000 μB/f.u.
# DFT total energy: -127.65 eV for the cell shown
data_Pm4CoSn
_space_group_name_H-M_alt 'C 1 2/c 1'
_space_group_IT_number 15
_cell_length_a 8.8757
_cell_length_b 13.0567
_cell_length_c 6.2355
_cell_angle_alpha 90.00
_cell_angle_beta 108.30
_cell_angle_gamma 90.00
loop_
_space_group_symop_operation_xyz
'x,y,z'
'-x,-y,-z'
'-x,y,-z+1/2'
'x,-y,z+1/2'
'x+1/2,y+1/2,z'
'-x+1/2,-y+1/2,-z'
'-x+1/2,y+1/2,-z+1/2'
'x+1/2,-y+1/2,z+1/2'
loop_
_atom_site_label
_atom_site_fract_x
_atom_site_fract_y
_atom_site_fract_z
Pm1 0.1075 0.1594 0.0465
Pm2 0.2052 0.4158 0.3887
Co1 0.0000 0.0005 0.7500
Sn1 0.0000 0.3749 0.7500

---

[6]
# Pm12Co6Sn PBE optimized geometry
# DFT formation energy: -198 meV/atom
# Total magnetization: 0.000 μB/f.u.
# DFT total energy: -214.81 eV for the cell shown
data_Pm12Co6Sn
_space_group_name_H-M_alt 'I m -3'
_space_group_IT_number 204
_space_group_name_Hall '-I 2 2 3'
_cell_length_a 9.9376
_cell_length_b 9.9376
_cell_length_c 9.9376
_cell_angle_alpha 90.00
_cell_angle_beta 90.00
_cell_angle_gamma 90.00
loop_
_atom_site_label
_atom_site_fract_x
_atom_site_fract_y
_atom_site_fract_z
Pm1 0.0000 0.3052 0.1932
Co1 0.0000 0.1113 0.5000
Sn1 0.0000 0.0000 0.0000

---

[7]
# Pm8CoSn3 PBE optimized geometry
# DFT formation energy: -287 meV/atom
# Total magnetization: 0.001 μB/f.u.
# DFT total energy: -121.14 eV for the cell shown
data_Pm8CoSn3
_space_group_name_H-M_alt 'I 4/m m m'
_space_group_IT_number 139
_space_group_name_Hall '-I 4 2'
_cell_length_a 7.3100
_cell_length_b 7.3100
_cell_length_c 14.6294
_cell_angle_alpha 90.00
_cell_angle_beta 90.00
_cell_angle_gamma 90.00
loop_
_atom_site_label
_atom_site_fract_x
_atom_site_fract_y
_atom_site_fract_z
Pm1 0.2349 0.2349 0.1168
Co1 0.0000 0.0000 0.0000
Sn1 0.0000 0.0000 0.5000
Sn2 0.0000 0.5000 0.2500

---

[8]
# Pm6CoSn3 PBE optimized geometry
# DFT formation energy: -352 meV/atom
# Total magnetization: 0.001 μB/f.u.
# DFT total energy: -306.84 eV for the cell shown
data_Pm6CoSn3
_space_group_name_H-M_alt 'R -3'
_space_group_IT_number 148
_space_group_name_Hall '-R 3'
_cell_length_a 13.4102
_cell_length_b 13.4102
_cell_length_c 12.5868
_cell_angle_alpha 90.00
_cell_angle_beta 90.00
_cell_angle_gamma 120.00
loop_
_atom_site_label
_atom_site_fract_x
_atom_site_fract_y
_atom_site_fract_z
Pm1 0.0326 0.1970 0.3955
Pm2 0.0643 0.1934 0.8824
Co1 0.0000 0.0000 0.0000
Co2 0.0000 0.0000 0.5000
Sn1 0.0452 0.4278 0.3100

---

[9]
# Pm3CoSn6 PBE optimized geometry
# DFT formation energy: -351 meV/atom
# Total magnetization: 0.000 μB/f.u.
# DFT total energy: -97.77 eV for the cell shown
data_Pm3CoSn6
_space_group_name_H-M_alt 'P 1 21/c 1'
_space_group_IT_number 14
_cell_length_a 6.2061
_cell_length_b 8.8052
_cell_length_c 11.0044
_cell_angle_alpha 90.00
_cell_angle_beta 114.04
_cell_angle_gamma 90.00
loop_
_space_group_symop_operation_xyz
'x,y,z'
'-x,-y,-z'
'-x,y+1/2,-z+1/2'
'x,-y+1/2,z+1/2'
loop_
_atom_site_label
_atom_site_fract_x
_atom_site_fract_y
_atom_site_fract_z
Pm1 0.0000 0.0000 0.0000
Pm2 0.3967 0.0818 0.7519
Co1 0.5000 0.0000 0.5000
Sn1 0.1184 0.0930 0.3023
Sn2 0.1501 0.6590 0.0089
Sn3 0.4482 0.2084 0.0356

---

[10]
# PmCoSn PBE optimized geometry
# DFT formation energy: -463 meV/atom
# ΔE to the lowest computed polymorph: 0 meV/atom
# Total magnetization: 0.001 μB/f.u.
# DFT total energy: -68.99 eV for the cell shown
data_PmCoSn
_space_group_name_H-M_alt 'P n m a'
_space_group_IT_number 62
_cell_length_a 7.6728
_cell_length_b 4.6586
_cell_length_c 7.1176
_cell_angle_alpha 90.00
_cell_angle_beta 90.00
_cell_angle_gamma 90.00
loop_
_space_group_symop_operation_xyz
'x,y,z'
'-x,-y,-z'
'-x+1/2,-y,z+1/2'
'x+1/2,y,-z+1/2'
'x+1/2,-y+1/2,-z+1/2'
'-x+1/2,y+1/2,z+1/2'
'-x,y+1/2,-z'
'x,-y+1/2,z'
loop_
_atom_site_label
_atom_site_fract_x
_atom_site_fract_y
_atom_site_fract_z
Pm1 0.0320 0.2500 0.1877
Co1 0.1416 0.7500 0.4394
Sn1 0.1940 0.2500 0.6152

---

[11]
# Pm2CoSn PBE optimized geometry
# DFT formation energy: -323 meV/atom
# Total magnetization: 0.378 μB/f.u.
# DFT total energy: -21.90 eV for the cell shown
data_Pm2CoSn
_space_group_name_H-M_alt 'P 4/m m m'
_space_group_IT_number 123
_space_group_name_Hall '-P 4 2'
_cell_length_a 3.4741
_cell_length_b 3.4741
_cell_length_c 8.0666
_cell_angle_alpha 90.00
_cell_angle_beta 90.00
_cell_angle_gamma 90.00
loop_
_atom_site_label
_atom_site_fract_x
_atom_site_fract_y
_atom_site_fract_z
Pm1 0.0000 0.0000 0.2116
Co1 0.5000 0.5000 0.0000
Sn1 0.5000 0.5000 0.5000

---

[12]
# TbPmCoSn PBE optimized geometry
# DFT formation energy: -275 meV/atom
# Total magnetization: 1.027 μB/f.u.
# DFT total energy: -86.36 eV for the cell shown
data_TbPmCoSn
_space_group_name_H-M_alt 'F -4 3 m'
_space_group_IT_number 216
_space_group_name_Hall 'F -4 2 3'
_cell_length_a 7.3082
_cell_length_b 7.3082
_cell_length_c 7.3082
_cell_angle_alpha 90.00
_cell_angle_beta 90.00
_cell_angle_gamma 90.00
loop_
_atom_site_label
_atom_site_fract_x
_atom_site_fract_y
_atom_site_fract_z
Tb1 0.0000 0.0000 0.0000
Pm1 0.0000 0.0000 0.5000
Co1 0.2500 0.2500 0.2500
Sn1 0.2500 0.2500 0.7500

---

[13]
# PmYCoSn PBE optimized geometry
# DFT formation energy: -290 meV/atom
# Total magnetization: 1.013 μB/f.u.
# DFT total energy: -93.93 eV for the cell shown
data_PmYCoSn
_space_group_name_H-M_alt 'F -4 3 m'
_space_group_IT_number 216
_space_group_name_Hall 'F -4 2 3'
_cell_length_a 7.2980
_cell_length_b 7.2980
_cell_length_c 7.2980
_cell_angle_alpha 90.00
_cell_angle_beta 90.00
_cell_angle_gamma 90.00
loop_
_atom_site_label
_atom_site_fract_x
_atom_site_fract_y
_atom_site_fract_z
Pm1 0.0000 0.0000 0.0000
Y1 0.0000 0.0000 0.5000
Co1 0.2500 0.2500 0.7500
Sn1 0.2500 0.2500 0.2500

---

[14]
# PmZnCoSn PBE optimized geometry
# DFT formation energy: -186 meV/atom
# Total magnetization: 0.364 μB/f.u.
# DFT total energy: -71.52 eV for the cell shown
data_PmZnCoSn
_space_group_name_H-M_alt 'F -4 3 m'
_space_group_IT_number 216
_space_group_name_Hall 'F -4 2 3'
_cell_length_a 6.7185
_cell_length_b 6.7185
_cell_length_c 6.7185
_cell_angle_alpha 90.00
_cell_angle_beta 90.00
_cell_angle_gamma 90.00
loop_
_atom_site_label
_atom_site_fract_x
_atom_site_fract_y
_atom_site_fract_z
Pm1 0.0000 0.0000 0.0000
Zn1 0.2500 0.2500 0.7500
Co1 0.2500 0.2500 0.2500
Sn1 0.0000 0.0000 0.5000

---

[15]
# PmTaCo2 PBE optimized geometry
# DFT formation energy: -89 meV/atom
# Total magnetization: 0.001 μB/f.u.
# DFT total energy: -31.17 eV for the cell shown
data_PmTaCo2
_space_group_name_H-M_alt 'P 4/m m m'
_space_group_IT_number 123
_space_group_name_Hall '-P 4 2'
_cell_length_a 3.1048
_cell_length_b 3.1048
_cell_length_c 7.0487
_cell_angle_alpha 90.00
_cell_angle_beta 90.00
_cell_angle_gamma 90.00
loop_
_atom_site_label
_atom_site_fract_x
_atom_site_fract_y
_atom_site_fract_z
Pm1 0.0000 0.0000 0.0000
Ta1 0.0000 0.0000 0.5000
Co1 0.5000 0.5000 0.3085

---

[16]
# PmTaCo10 PBE optimized geometry
# DFT formation energy: 9 meV/atom
# Total magnetization: 12.845 μB/f.u.
# DFT total energy: -87.56 eV for the cell shown
data_PmTaCo10
_space_group_name_H-M_alt 'P m m m'
_space_group_IT_number 47
_cell_length_a 3.9812
_cell_length_b 4.7861
_cell_length_c 8.3505
_cell_angle_alpha 90.00
_cell_angle_beta 90.00
_cell_angle_gamma 90.00
loop_
_space_group_symop_operation_xyz
'x,y,z'
'-x,-y,-z'
'-x,-y,z'
'x,y,-z'
'x,-y,-z'
'-x,y,z'
'-x,y,-z'
'x,-y,z'
loop_
_atom_site_label
_atom_site_fract_x
_atom_site_fract_y
_atom_site_fract_z
Pm1 0.0000 0.0000 0.0000
Ta1 0.0000 0.5000 0.5000
Co1 0.0000 0.0000 0.3481
Co2 0.0000 0.5000 0.1887
Co3 0.5000 0.0000 0.5000
Co4 0.5000 0.2582 0.2631
Co5 0.5000 0.5000 0.0000

---

[17]
# TbPm2Co PBE optimized geometry
# DFT formation energy: 61 meV/atom
# ΔE to the lowest computed polymorph: 161 meV/atom
# Total magnetization: 0.053 μB/f.u.
# DFT total energy: -62.98 eV for the cell shown
data_TbPm2Co
_space_group_name_H-M_alt 'R 3 m'
_space_group_IT_number 160
_space_group_name_Hall 'R 3 -2"'
_cell_length_a 3.8218
_cell_length_b 3.8218
_cell_length_c 27.5074
_cell_angle_alpha 90.00
_cell_angle_beta 90.00
_cell_angle_gamma 120.00
loop_
_atom_site_label
_atom_site_fract_x
_atom_site_fract_y
_atom_site_fract_z
Tb1 0.0000 0.0000 0.0000
Pm1 0.0000 0.0000 0.2255
Pm2 0.0000 0.0000 0.4429
Co1 0.0000 0.0000 0.8345

---

[18]
# Tb2PmCo PBE optimized geometry
# DFT formation energy: -128 meV/atom
# ΔE to the lowest computed polymorph: 0 meV/atom
# Total magnetization: 0.000 μB/f.u.
# DFT total energy: -86.52 eV for the cell shown
data_Tb2PmCo
_space_group_name_H-M_alt 'P n m a'
_space_group_IT_number 62
_cell_length_a 6.9805
_cell_length_b 9.5560
_cell_length_c 6.3412
_cell_angle_alpha 90.00
_cell_angle_beta 90.00
_cell_angle_gamma 90.00
loop_
_space_group_symop_operation_xyz
'x,y,z'
'-x,-y,-z'
'-x+1/2,-y,z+1/2'
'x+1/2,y,-z+1/2'
'x+1/2,-y+1/2,-z+1/2'
'-x+1/2,y+1/2,z+1/2'
'-x,y+1/2,-z'
'x,-y+1/2,z'
loop_
_atom_site_label
_atom_site_fract_x
_atom_site_fract_y
_atom_site_fract_z
Tb1 0.1714 0.0689 0.1766
Pm1 0.0438 0.2500 0.6410
Co1 0.1138 0.7500 0.9406

---

[19]
# TbPm2Co PBE optimized geometry
# DFT formation energy: -48 meV/atom
# ΔE to the lowest computed polymorph: 53 meV/atom
# Total magnetization: 0.000 μB/f.u.
# DFT total energy: -85.71 eV for the cell shown
data_TbPm2Co
_space_group_name_H-M_alt 'P n n a'
_space_group_IT_number 52
_cell_length_a 6.5701
_cell_length_b 6.2923
_cell_length_c 11.3254
_cell_angle_alpha 90.00
_cell_angle_beta 90.00
_cell_angle_gamma 90.00
loop_
_space_group_symop_operation_xyz
'x,y,z'
'-x,-y,-z'
'-x+1/2,-y,z'
'x+1/2,y,-z'
'x,-y+1/2,-z+1/2'
'-x,y+1/2,z+1/2'
'-x+1/2,y+1/2,-z+1/2'
'x+1/2,-y+1/2,z+1/2'
loop_
_atom_site_label
_atom_site_fract_x
_atom_site_fract_y
_atom_site_fract_z
Tb1 0.0799 0.2500 0.2500
Pm1 0.0885 0.2471 0.5853
Co1 0.2500 0.0000 0.4114

---

[20]
# TbPm3Co PBE optimized geometry
# DFT formation energy: -72 meV/atom
# ΔE to the lowest computed polymorph: 0 meV/atom
# Total magnetization: 0.000 μB/f.u.
# DFT total energy: -105.40 eV for the cell shown
data_TbPm3Co
_space_group_name_H-M_alt 'C 1 2/m 1'
_space_group_IT_number 12
_cell_length_a 11.7948
_cell_length_b 8.5125
_cell_length_c 8.3440
_cell_angle_alpha 90.00
_cell_angle_beta 134.66
_cell_angle_gamma 90.00
loop_
_space_group_symop_operation_xyz
'x,y,z'
'-x,-y,-z'
'-x,y,-z'
'x,-y,z'
'x+1/2,y+1/2,z'
'-x+1/2,-y+1/2,-z'
'-x+1/2,y+1/2,-z'
'x+1/2,-y+1/2,z'
loop_
_atom_site_label
_atom_site_fract_x
_atom_site_fract_y
_atom_site_fract_z
Tb1 0.0450 0.0000 0.2482
Pm1 0.0461 0.5000 0.3378
Pm2 0.2491 0.2037 0.7906
Co1 0.2485 0.0000 0.1312

---

[21]
# Tb4PmCo PBE optimized geometry
# DFT formation energy: -21 meV/atom
# Total magnetization: 0.000 μB/f.u.
# DFT total energy: -30.51 eV for the cell shown
data_Tb4PmCo
_space_group_name_H-M_alt 'P -1'
_space_group_IT_number 2
_cell_length_a 3.5862
_cell_length_b 6.2362
_cell_length_c 8.3942
_cell_angle_alpha 70.64
_cell_angle_beta 89.96
_cell_angle_gamma 73.30
loop_
_space_group_symop_operation_xyz
'x,y,z'
'-x,-y,-z'
loop_
_atom_site_label
_atom_site_fract_x
_atom_site_fract_y
_atom_site_fract_z
Tb1 0.1240 0.2512 0.3813
Tb2 0.1739 0.1555 0.7959
Pm1 0.5000 0.5000 0.0000
Co1 0.5000 0.5000 0.5000